Record 1
The following is a PBE calculation of a relaxed structure of Rb3La2PmO6, from Alexandria.

POSCAR file:
```
Rb3La2PmO6
1.0
3.2157 -5.5707 0.0000
3.2157 5.5707 0.0000
-2.1426 0.0000 6.5996
Rb La Pm O
3 2 1 6
Direct
0.0000 0.0000 0.0000
0.3342 0.6658 0.0000
0.6658 0.3342 0.0000
0.1667 0.8333 0.5000
0.8333 0.1667 0.5000
0.5000 0.5000 0.5000
0.1125 0.4399 0.3196
0.2326 0.2326 0.6803
0.4399 0.1125 0.3196
0.5601 0.8875 0.6804
0.7674 0.7674 0.3197
0.8875 0.5601 0.6804
```

Output
Uncorrected formation energy = -2.61 eV per atom
M_tot = 0.00 μB/cell



Record 2
The following is a PBE calculation of a relaxed structure of TmMn6Tc2, from Alexandria.

POSCAR file:
```
TmMn6Tc2
1.0
-1.3868 3.3121 6.6101
1.3868 -3.3121 6.6101
1.3868 3.3121 -6.6101
Tm Mn Tc
1 6 2
Direct
0.0000 0.0000 0.0000
0.0070 0.6861 0.3210
0.3438 0.5000 0.8438
0.3651 0.6861 0.6790
0.6349 0.3139 0.3210
0.6562 0.5000 0.1562
0.9930 0.3139 0.6790
0.3571 0.8571 0.5000
0.6429 0.1429 0.5000
```

Output
M_tot = 0.79 μB/cell
Energy of formation = 2.87 eV per formula unit



Record 3
The following is a PBE calculation of a relaxed structure of NaCd2Hg5, from Alexandria.

POSCAR file:
```
NaCd2Hg5
1.0
-1.6962 3.3427 9.2081
1.6962 -3.3427 9.2081
1.6962 3.3427 -9.2081
Na Cd Hg
1 2 5
Direct
0.0000 0.0000 0.0000
0.2664 0.7664 0.5000
0.7336 0.2336 0.5000
0.1148 0.3762 0.7387
0.3625 0.6238 0.7387
0.5000 0.0000 0.5000
0.6375 0.3762 0.2613
0.8852 0.6238 0.2613
```

Output
M_tot = 0.00 μB/cell
Energy of formation = -0.50 eV per formula unit



Record 4
The following is a PBE calculation of a relaxed structure of NaCd2RuO, from Alexandria.

POSCAR file:
```
NaCd2RuO
1.0
5.1889 0.0000 0.0000
0.0000 5.1889 0.0000
0.0000 0.0000 5.6547
Na Cd Ru O
1 2 1 1
Direct
0.0000 0.0000 0.0000
0.0000 0.5000 0.5000
0.5000 0.0000 0.5000
0.0000 0.0000 0.5000
0.5000 0.5000 0.0000
```

Output
Uncorrected formation energy = 1.06 eV per atom
M_tot = 1.54 μB/cell



Record 5
The following is a PBE calculation of a relaxed structure of NaLa3, from Alexandria.

POSCAR file:
```
NaLa3
1.0
-3.0604 3.0604 3.8871
3.0604 -3.0604 3.8871
3.0604 3.0604 -3.8871
Na La
1 3
Direct
0.0000 0.0000 0.0000
0.2500 0.7500 0.5000
0.5000 0.5000 0.0000
0.7500 0.2500 0.5000
```

Output
M_tot = 0.46 μB/cell
Excess energy over the best structure of this formula in the dataset = 108 meV per atom
Energy of formation = 1.03 eV per formula unit



Record 6
The following is a PBE calculation of a relaxed structure of ZrTl3Zn, from Alexandria.

POSCAR file:
```
ZrTl3Zn
1.0
5.1798 0.0000 0.0000
0.0000 5.1798 0.0000
0.0000 0.0000 5.1798
Zr Tl Zn
1 3 1
Direct
0.0000 0.0000 0.0000
0.0000 0.5000 0.5000
0.5000 0.0000 0.5000
0.5000 0.5000 0.0000
0.5000 0.5000 0.5000
```

Output
M_tot = 0.00 μB/cell
Energy of formation = 3.28 eV per formula unit



Record 7
The following is a PBE calculation of a relaxed structure of Nd4YHo5, from Alexandria.

POSCAR file:
```
Nd4YHo5
1.0
-5.3520 5.3520 2.9796
5.3520 -5.3520 2.9796
5.3520 5.3520 -2.9796
Nd Y Ho
4 1 5
Direct
0.0000 0.3241 0.3241
0.0000 0.6759 0.6759
0.3241 0.0000 0.3241
0.6759 0.0000 0.6759
0.2392 0.2392 0.0000
0.3175 0.3175 0.6219
0.3175 0.6956 0.0000
0.6956 0.3175 0.0000
0.6956 0.6956 0.3781
0.7636 0.7636 0.0000
```

Output
M_tot = 0.00 μB/cell
Excess energy over the best structure of this formula in the dataset = 53 meV per atom
Energy of formation = 2.45 eV per formula unit



Record 8
The following is a PBE calculation of a relaxed structure of ReSn, from Alexandria.

POSCAR file:
```
ReSn
1.0
3.0287 0.0000 0.0000
0.0000 6.0066 3.2995
0.0000 -6.0066 3.2995
Re Sn
3 3
Direct
0.0000 0.0000 0.0000
0.5000 0.6241 0.8406
0.5000 0.8406 0.6241
0.0000 0.2594 0.8024
0.0000 0.8024 0.2594
0.5000 0.3584 0.3584
```

Output
M_tot = 0.00 μB/cell
Excess energy over the best structure of this formula in the dataset = 11 meV per atom
Energy of formation = 0.73 eV per formula unit